(1)
! MgCuMoIr PBE-GGA optimized geometry; values from VASP
! DFT formation energy	-0.06	eV per atom
! density of states at the Fermi level	0.19	states/eV/atom
! ρ	10.5	g cm⁻³
! electronic total energy	-25.6	eV per cell
&SYSTEM
  ibrav = 0, nat = 4, ntyp = 4
/
ATOMIC_SPECIES
Mg 24.30 Mg.upf
Cu 63.55 Cu.upf
Mo 95.94 Mo.upf
Ir 192.22 Ir.upf
CELL_PARAMETERS angstrom
0.0000 3.0975 3.0975
3.0975 0.0000 3.0975
3.0975 3.0975 0.0000
ATOMIC_POSITIONS angstrom
Mg 0.0000 0.0000 0.0000
Cu 4.6463 4.6463 4.6463
Mo 3.0975 3.0975 3.0975
Ir 1.5488 1.5488 1.5488

=====

(2)
! Cs3SbH3 PBE-GGA optimized geometry; values from VASP
! density of states at the Fermi level	0.57	states/eV/atom
! ρ	3.8	g cm⁻³
! electronic total energy	-32.4	eV per cell
&SYSTEM
  ibrav = 0, nat = 14, ntyp = 3
/
ATOMIC_SPECIES
Cs 132.91 Cs.upf
Sb 121.76 Sb.upf
H 1.01 H.upf
CELL_PARAMETERS angstrom
4.5919 2.6511 6.3136
-4.5919 2.6511 6.3136
0.0000 -5.3023 6.3136
ATOMIC_POSITIONS angstrom
Cs -2.7384 0.5628 7.8960
Cs -1.8566 -2.0901 11.0446
Cs 0.8818 -2.6529 7.8960
Cs -0.8818 2.6529 11.0446
Cs 1.8566 2.0901 7.8960
Cs 2.7384 -0.5628 11.0446
Sb 0.0000 0.0000 4.7474
Sb 0.0000 0.0000 14.1933
H -2.1540 0.0076 4.7476
H 1.0705 -1.8692 4.7476
H 1.0835 1.8616 4.7476
H -1.0835 -1.8616 14.1931
H -1.0705 1.8692 14.1931
H 2.1540 -0.0076 14.1931

=====

(3)
! Rb2NbVBr6 PBE-GGA optimized geometry; values from VASP
! density of states at the Fermi level	0.17	states/eV/atom
! ρ	4.2	g cm⁻³
! formation energy without anion corrections	-0.9880	eV/atom
! electronic total energy	-41.0	eV per cell
&SYSTEM
  ibrav = 0, nat = 10, ntyp = 4
/
ATOMIC_SPECIES
Rb 85.47 Rb.upf
Nb 92.91 Nb.upf
V 50.94 V.upf
Br 79.90 Br.upf
CELL_PARAMETERS angstrom
0.0000 5.4073 5.4073
5.4073 0.0000 5.4073
5.4073 5.4073 0.0000
ATOMIC_POSITIONS angstrom
Rb 2.7037 2.7037 2.7037
Rb 8.1110 8.1110 8.1110
Nb 0.0000 0.0000 0.0000
V 5.4073 5.4073 5.4073
Br 5.4073 5.4073 2.7362
Br 5.4073 2.7362 5.4073
Br 8.0784 5.4073 5.4073
Br 2.7362 5.4073 5.4073
Br 5.4073 8.0784 5.4073
Br 5.4073 5.4073 8.0784

=====

(4)
! Nd3TlPt PBE-GGA optimized geometry; values from VASP
! DFT formation energy	-0.50	eV per atom
! density of states at the Fermi level	1.35	states/eV/atom
! ρ	8.6	g cm⁻³
! electronic total energy	-50.4	eV per cell
&SYSTEM
  ibrav = 0, nat = 10, ntyp = 3
/
ATOMIC_SPECIES
Nd 144.24 Nd.upf
Tl 204.38 Tl.upf
Pt 195.08 Pt.upf
CELL_PARAMETERS angstrom
1.9393 -8.0673 0.0000
1.9393 8.0673 0.0000
0.0000 0.0000 10.2946
ATOMIC_POSITIONS angstrom
Nd 1.9393 6.0837 7.7209
Nd 1.9393 2.5727 5.8852
Nd 1.9393 2.5727 9.5566
Nd 1.9393 -2.5727 0.7379
Nd 1.9393 -2.5727 4.4093
Nd 1.9393 -6.0837 2.5736
Tl 0.0000 0.0000 0.0000
Tl 0.0000 0.0000 5.1473
Pt 1.9393 4.1124 2.5736
Pt 1.9393 -4.1124 7.7209

=====

(5)
! DyPa3C4 PBE-GGA optimized geometry; values from VASP
! DFT formation energy	-0.42	eV per atom
! density of states at the Fermi level	0.72	states/eV/atom
! ρ	11.3	g cm⁻³
! electronic total energy	-73.3	eV per cell
&SYSTEM
  ibrav = 0, nat = 8, ntyp = 3
/
ATOMIC_SPECIES
Dy 162.50 Dy.upf
Pa 231.04 Pa.upf
C 12.01 C.upf
CELL_PARAMETERS angstrom
3.5959 -5.0967 0.0000
3.5959 5.0967 0.0000
0.0000 0.0000 3.6150
ATOMIC_POSITIONS angstrom
Dy 0.0000 0.0000 0.0000
Pa 1.7979 2.5483 1.8075
Pa 1.7979 -2.5483 1.8075
Pa 3.5959 0.0000 0.0000
C 3.5959 2.4880 0.0000
C 1.8993 0.0000 1.8075
C 5.2924 0.0000 1.8075
C 3.5959 -2.4880 0.0000

=====

(6)
! HfRhNO2 PBE-GGA optimized geometry; values from VASP
! density of states at the Fermi level	0.87	states/eV/atom
! ρ	7.8	g cm⁻³
! formation energy without anion corrections	-0.6420	eV/atom
! electronic total energy	-38.8	eV per cell
&SYSTEM
  ibrav = 0, nat = 5, ntyp = 4
/
ATOMIC_SPECIES
Hf 178.49 Hf.upf
Rh 102.91 Rh.upf
N 14.01 N.upf
O 16.00 O.upf
CELL_PARAMETERS angstrom
4.0435 0.0000 0.0000
0.0000 4.0435 0.0000
0.0000 0.0000 4.2783
ATOMIC_POSITIONS angstrom
Hf 0.0000 0.0000 0.0000
Rh 2.0218 2.0218 2.1391
N 0.0000 0.0000 2.1391
O 0.0000 2.0218 0.0000
O 2.0218 0.0000 0.0000

=====

(7)
! TaIn2Cl PBE-GGA optimized geometry; values from VASP
! density of states at the Fermi level	0.30	states/eV/atom
! ρ	7.9	g cm⁻³
! formation energy without anion corrections	-0.0188	eV/atom
! electronic total energy	-19.3	eV per cell
&SYSTEM
  ibrav = 0, nat = 4, ntyp = 3
/
ATOMIC_SPECIES
Ta 180.95 Ta.upf
In 114.82 In.upf
Cl 35.45 Cl.upf
CELL_PARAMETERS angstrom
3.0554 0.0000 0.0000
0.0000 3.0554 0.0000
0.0000 0.0000 10.0829
ATOMIC_POSITIONS angstrom
Ta 0.0000 0.0000 0.0000
In 0.0000 0.0000 5.2969
In 1.5277 1.5277 7.9364
Cl 1.5277 1.5277 1.6230

=====

(8)
! CaAl3Tc PBE-GGA optimized geometry; values from VASP
! DFT formation energy	2.11	eV per atom
! density of states at the Fermi level	3.27	states/eV/atom
! ρ	2.8	g cm⁻³
! electronic total energy	-13.0	eV per cell
&SYSTEM
  ibrav = 0, nat = 5, ntyp = 3
/
ATOMIC_SPECIES
Ca 40.08 Ca.upf
Al 26.98 Al.upf
Tc 98.00 Tc.upf
CELL_PARAMETERS angstrom
5.0735 0.0000 0.0000
0.0000 5.0735 0.0000
0.0000 0.0000 5.0735
ATOMIC_POSITIONS angstrom
Ca 0.0000 0.0000 0.0000
Al 0.0000 0.0000 2.5367
Al 0.0000 2.5367 0.0000
Al 2.5367 0.0000 0.0000
Tc 2.5367 2.5367 2.5367

=====

(9)
! Cs2AlBr5 PBE-GGA optimized geometry; values from VASP
! density of states at the Fermi level	0.00	states/eV/atom
! ρ	3.4	g cm⁻³
! formation energy without anion corrections	-1.4921	eV/atom
! electronic total energy	-25.8	eV per cell
&SYSTEM
  ibrav = 0, nat = 8, ntyp = 3
/
ATOMIC_SPECIES
Cs 132.91 Cs.upf
Al 26.98 Al.upf
Br 79.90 Br.upf
CELL_PARAMETERS angstrom
-4.0183 4.0183 5.1854
4.0183 -4.0183 5.1854
4.0183 4.0183 -5.1854
ATOMIC_POSITIONS angstrom
Cs 4.0183 0.0000 0.0000
Cs 0.0000 4.0183 0.0000
Al 0.0000 0.0000 3.0715
Br 2.2984 2.2984 -2.6404
Br 1.7199 -1.7199 2.5451
Br -1.7199 1.7199 2.5451
Br 1.7199 1.7199 2.5451
Br 0.0000 0.0000 5.4302

=====

(10)
! LaMgH2Se PBE-GGA optimized geometry; values from VASP
! density of states at the Fermi level	0.32	states/eV/atom
! ρ	3.3	g cm⁻³
! electronic total energy	-18.6	eV per cell
&SYSTEM
  ibrav = 0, nat = 5, ntyp = 4
/
ATOMIC_SPECIES
La 138.91 La.upf
Mg 24.30 Mg.upf
H 1.01 H.upf
Se 78.96 Se.upf
CELL_PARAMETERS angstrom
4.0798 0.0000 0.0000
0.0000 4.0798 0.0000
0.0000 0.0000 7.3301
ATOMIC_POSITIONS angstrom
La 0.0000 0.0000 0.0000
Mg 0.0000 0.0000 3.6650
H 0.0000 2.0399 3.6650
H 2.0399 0.0000 3.6650
Se 2.0399 2.0399 0.0000

=====

(11)
! Zn3SiO PBE-GGA optimized geometry; values from VASP
! density of states at the Fermi level	1.31	states/eV/atom
! ρ	4.1	g cm⁻³
! formation energy without anion corrections	0.5190	eV/atom
! electronic total energy	-11.6	eV per cell
&SYSTEM
  ibrav = 0, nat = 5, ntyp = 3
/
ATOMIC_SPECIES
Zn 65.41 Zn.upf
Si 28.09 Si.upf
O 16.00 O.upf
CELL_PARAMETERS angstrom
4.5905 0.0000 0.0000
0.0000 4.5905 0.0000
0.0000 0.0000 4.5905
ATOMIC_POSITIONS angstrom
Zn 0.0000 0.0000 2.2952
Zn 0.0000 2.2952 0.0000
Zn 2.2952 0.0000 0.0000
Si 0.0000 0.0000 0.0000
O 2.2952 2.2952 2.2952

=====

(12)
! BaMn2Ni PBE-GGA optimized geometry; values from VASP
! DFT formation energy	0.26	eV per atom
! density of states at the Fermi level	0.91	states/eV/atom
! ρ	5.6	g cm⁻³
! electronic total energy	-25.0	eV per cell
&SYSTEM
  ibrav = 0, nat = 4, ntyp = 3
/
ATOMIC_SPECIES
Ba 137.33 Ba.upf
Mn 54.94 Mn.upf
Ni 58.69 Ni.upf
CELL_PARAMETERS angstrom
2.0936 1.2088 5.9354
-2.0936 1.2088 5.9354
0.0000 -2.4175 5.9354
ATOMIC_POSITIONS angstrom
Ba 0.0000 0.0000 0.0000
Mn 0.0000 0.0000 3.2813
Mn 0.0000 0.0000 9.0211
Ni 0.0000 0.0000 14.2318

=====

> Which of these has the lowest electronic total energy?

DyPa3C4